(1)
Cr2SiAg, optimized geometry, DFT PBE; formation energy without anion corrections = 7.33 kcal/mol of atoms
1.0
4.333 0.000 0.000
2.166 3.752 0.000
2.166 1.251 3.538
Cr Si Ag
2 1 1
direct
0.250 0.250 0.250
0.000 0.000 0.000
0.750 0.750 0.750
0.500 0.500 0.500

=====

(2)
Li3CoBr, optimized geometry, DFT PBE; formation energy without anion corrections = 4.94 kcal/mol of atoms
1.0
4.772 0.000 0.000
0.000 4.772 0.000
0.000 0.000 4.772
Li Co Br
3 1 1
direct
0.000 0.000 0.500
0.000 0.500 0.000
0.500 0.000 0.000
0.000 0.000 0.000
0.500 0.500 0.500

=====

(3)
BaTl4Si, optimized geometry, DFT PBE; formation energy without anion corrections = 3.73 kcal/mol of atoms
1.0
5.678 -2.250 2.151
0.982 -6.383 0.478
4.062 -2.966 -4.079
Si Tl Ba
1 4 1
direct
0.000 0.000 0.000
0.374 0.374 0.374
0.374 0.374 0.878
0.878 0.374 0.374
0.374 0.878 0.374
0.750 0.750 0.750

=====

(4)
AgH2F6, optimized geometry, DFT PBE; uncorrected energy = -3.409 eV per atom
1.0
19.125 -1.720 -4.364
-2.954 4.405 -1.713
-2.003 -1.773 4.890
H F Ag
4 12 2
direct
0.750 0.566 0.935
0.750 0.065 0.434
0.250 0.434 0.065
0.250 0.935 0.566
0.071 0.281 0.413
0.163 0.051 0.851
0.337 0.149 0.949
0.837 0.949 0.149
0.164 0.725 0.190
0.429 0.587 0.719
0.336 0.810 0.275
0.664 0.190 0.725
0.571 0.413 0.281
0.663 0.851 0.051
0.836 0.275 0.810
0.929 0.719 0.587
0.250 0.934 0.066
0.750 0.066 0.934

=====

(5)
KRh2W, optimized geometry, DFT PBE; formation enthalpy at 0 K = 634 meV per atom
1.0
-0.891 1.116 4.685
-0.264 -1.707 4.583
6.242 1.321 1.802
W K Rh
1 1 2
direct
0.470 0.470 0.645
0.256 0.256 0.227
0.026 0.026 0.927
0.747 0.747 0.701

=====

(6)
Li3CaBe, optimized geometry, DFT PBE; formation enthalpy at 0 K = 1272 meV per atom
1.0
-4.434 -1.821 2.240
2.282 0.303 4.764
-1.767 4.958 0.531
Li Ca Be
3 1 1
direct
0.000 0.000 0.500
0.000 0.500 0.000
0.500 0.000 0.000
0.000 0.000 0.000
0.500 0.500 0.500

=====

(7)
ErBe3As3, optimized geometry, DFT PBE; formation enthalpy at 0 K = -525 meV per atom
1.0
-0.477 -4.133 5.159
-2.827 -5.944 -0.767
4.733 -5.937 -0.062
As Er Be
6 2 6
direct
0.417 0.089 0.730
0.764 0.417 0.730
0.089 0.764 0.730
0.583 0.911 0.270
0.911 0.236 0.270
0.236 0.583 0.270
0.666 0.666 0.001
0.334 0.334 0.999
0.873 0.540 0.373
0.540 0.215 0.373
0.127 0.460 0.627
0.785 0.127 0.627
0.460 0.785 0.627
0.215 0.873 0.373

=====

(8)
ZnNi2Pd7, optimized geometry, DFT PBE; formation enthalpy at 0 K = 400 meV per atom
1.0
-1.090 -3.989 -0.818
2.915 -2.041 6.074
-6.792 1.849 0.034
Pd Zn Ni
7 1 2
direct
0.500 0.928 0.697
0.500 0.500 0.500
0.000 0.209 0.791
0.500 0.072 0.303
0.500 0.303 0.072
0.500 0.697 0.928
0.000 0.791 0.209
0.000 0.000 0.000
0.500 0.302 0.698
0.500 0.698 0.302

=====

(9)
Y2ScW, optimized geometry, DFT PBE; formation enthalpy at 0 K = 452 meV per atom
1.0
0.000 3.620 3.620
3.620 0.000 3.620
3.620 3.620 0.000
Sc Y W
1 2 1
direct
0.000 0.000 0.000
0.750 0.750 0.750
0.250 0.250 0.250
0.500 0.500 0.500

=====

(10)
Ac12Sn6Pt, optimized geometry, DFT PBE; formation enthalpy at 0 K = -473 meV per atom
1.0
-7.485 5.745 0.661
-2.065 -6.051 6.971
6.443 5.327 4.425
Sn Ac Pt
6 12 1
direct
0.691 0.876 0.360
0.360 0.691 0.876
0.124 0.640 0.309
0.309 0.124 0.640
0.876 0.360 0.691
0.640 0.309 0.124
0.426 0.563 0.190
0.563 0.190 0.426
0.940 0.018 0.682
0.574 0.437 0.810
0.190 0.426 0.563
0.810 0.574 0.437
0.018 0.682 0.940
0.060 0.982 0.318
0.982 0.318 0.060
0.682 0.940 0.018
0.437 0.810 0.574
0.318 0.060 0.982
0.000 0.000 0.000

=====

(11)
RbBeInI2, optimized geometry, DFT PBE; formation energy without anion corrections = 3.50 kcal/mol of atoms
1.0
5.518 0.000 0.000
0.000 6.131 0.000
0.000 0.000 5.518
I Rb In Be
2 1 1 1
direct
0.500 0.000 0.000
0.000 0.000 0.500
0.000 0.500 0.000
0.500 0.500 0.500
0.000 0.000 0.000

=====

(12)
Na2CeBr5, optimized geometry, DFT PBE; formation energy without anion corrections = -38.24 kcal/mol of atoms
1.0
-4.376 2.420 -6.794
-4.548 -7.701 0.187
-8.862 5.419 7.638
Br Na Ce
20 8 4
direct
0.137 0.750 0.817
0.055 0.250 0.503
0.338 0.953 0.591
0.338 0.547 0.591
0.637 0.250 0.683
0.162 0.547 0.091
0.820 0.750 0.217
0.180 0.250 0.783
0.863 0.250 0.183
0.838 0.453 0.909
0.662 0.453 0.409
0.320 0.250 0.283
0.363 0.750 0.317
0.838 0.047 0.909
0.555 0.750 0.997
0.162 0.953 0.091
0.680 0.750 0.717
0.945 0.750 0.497
0.445 0.250 0.003
0.662 0.047 0.409
0.487 0.010 0.822
0.013 0.490 0.322
0.487 0.490 0.822
0.513 0.990 0.178
0.513 0.510 0.178
0.987 0.510 0.678
0.013 0.010 0.322
0.987 0.990 0.678
0.087 0.250 0.005
0.587 0.750 0.495
0.913 0.750 0.995
0.413 0.250 0.505

=====

Number 1: V 14.4 A^3/atom, calculated density 6.9 Mg/m³. Number 2: V 21.7 A^3/atom, calculated density 2.4 Mg/m³. Number 3: V 32.0 A^3/atom, calculated density 8.5 Mg/m³. Number 4: V 14.5 A^3/atom, calculated density 2.8 Mg/m³. Number 5: V 22.2 A^3/atom, calculated density 8.0 Mg/m³. Number 6: V 29.6 A^3/atom, calculated density 0.8 Mg/m³. Number 7: V 17.8 A^3/atom, calculated density 5.6 Mg/m³. Number 8: V 18.4 A^3/atom, calculated density 8.4 Mg/m³. Number 9: V 23.7 A^3/atom, calculated density 7.1 Mg/m³. Number 10: V 42.5 A^3/atom, calculated density 7.5 Mg/m³. Number 11: V 37.3 A^3/atom, calculated density 4.1 Mg/m³. Number 12: V 30.4 A^3/atom, calculated density 4.0 Mg/m³.